[1]
Computed, not measured: a relaxed TbTmBi crystal at the PBE-GGA level of DFT.

POSCAR file:
```
TbTmBi
1.0
-1.9732 1.4030 -3.5446
2.5869 -5.8360 1.4455
-8.1573 -1.7151 1.2313
Tm Tb Bi
2 2 2
Direct
0.9989 0.7500 0.0028
0.0011 0.2500 0.9972
0.3258 0.7501 0.3451
0.6742 0.2499 0.6549
0.6550 0.7500 0.6930
0.3450 0.2500 0.3070
```

Summary:
DFT formation energy: -0.514 eV/atom



[2]
Computed, not measured: a relaxed TbTm3Bi2 crystal at the PBE-GGA level of DFT.

POSCAR file:
```
TbTm3Bi2
1.0
-1.5475 -3.8019 -1.2262
9.0172 0.6106 -5.7896
-0.5908 -2.8187 9.4855
Tb Tm Bi
2 6 4
Direct
0.8893 0.7787 0.8892
0.1107 0.2213 0.1108
0.3114 0.6228 0.5129
0.9436 0.8872 0.5567
0.6374 0.2749 0.7954
0.3626 0.7251 0.2046
0.0564 0.1128 0.4433
0.6886 0.3772 0.4871
0.4907 0.9814 0.8238
0.5093 0.0186 0.1762
0.7487 0.4973 0.2110
0.2513 0.5027 0.7890
```

Summary:
DFT formation energy: -0.449 eV/atom



[3]
Computed, not measured: a relaxed Tb3Tm2Bi3 crystal at the PBE-GGA level of DFT.

POSCAR file:
```
Tb3Tm2Bi3
1.0
-3.0393 2.9326 -0.9143
-3.6709 -6.9364 0.1667
-2.7178 1.7938 14.7873
Tb Tm Bi
6 4 6
Direct
0.9610 0.9221 0.3868
0.0390 0.0779 0.8868
0.9610 0.9221 0.1132
0.0390 0.0779 0.6132
0.6101 0.2203 0.2500
0.3899 0.7797 0.7500
0.7588 0.5175 0.8875
0.2412 0.4825 0.3875
0.7588 0.5175 0.6125
0.2412 0.4825 0.1125
0.6109 0.2219 0.4624
0.3891 0.7781 0.9624
0.6109 0.2219 0.0376
0.3891 0.7781 0.5376
0.3956 0.7911 0.2500
0.6044 0.2089 0.7500
```

Summary:
DFT formation energy: -0.532 eV/atom



[4]
Computed, not measured: a relaxed TbTm8Bi6 crystal at the PBE-GGA level of DFT.

POSCAR file:
```
TbTm8Bi6
1.0
-4.0827 -5.9922 2.1042
3.3867 -6.6378 1.2133
1.0976 -1.8117 10.5152
Tb Tm Bi
1 8 6
Direct
0.0000 0.0000 0.0000
0.5493 0.2078 0.3668
0.7922 0.1239 0.6332
0.1239 0.4507 0.6332
0.6665 0.6665 0.0005
0.3335 0.3335 0.9995
0.8761 0.5493 0.3668
0.2078 0.8761 0.3668
0.4507 0.7922 0.6332
0.4001 0.0617 0.8120
0.9383 0.2739 0.1880
0.2739 0.5999 0.1880
0.7261 0.4001 0.8120
0.0617 0.7261 0.8120
0.5999 0.9383 0.1880
```

Summary:
DFT formation energy: -0.453 eV/atom



[5]
Computed, not measured: a relaxed TbTm5Bi2 crystal at the PBE-GGA level of DFT.

POSCAR file:
```
TbTm5Bi2
1.0
-1.9978 0.6610 3.4102
-6.4526 -4.8564 -0.4845
1.9992 -6.2470 4.7363
Tb Tm Bi
1 5 2
Direct
0.0000 0.0000 0.0000
0.0000 0.5000 0.5000
0.6401 0.5659 0.1538
0.3599 0.4341 0.8462
0.3599 0.8462 0.4341
0.6401 0.1538 0.5659
0.7271 0.7729 0.7729
0.2729 0.2271 0.2271
```

Summary:
DFT formation energy: -0.255 eV/atom



[6]
Computed, not measured: a relaxed Tb4Tm3Bi4 crystal at the PBE-GGA level of DFT.

POSCAR file:
```
Tb4Tm3Bi4
1.0
-3.5917 -2.2164 -2.0985
1.1090 -2.4740 6.0082
-7.4263 7.7250 4.5517
Tb Tm Bi
4 3 4
Direct
0.6536 0.3071 0.5000
0.5962 0.1924 0.0000
0.0683 0.1367 0.7508
0.0683 0.1367 0.2492
0.3622 0.7243 0.3471
0.3622 0.7243 0.6529
0.2938 0.5876 0.0000
0.7432 0.4864 0.7760
0.7432 0.4864 0.2240
0.9576 0.9152 0.5000
0.9500 0.9000 0.0000
```

Summary:
DFT formation energy: -0.451 eV/atom



[7]
Computed, not measured: a relaxed TbTm2Bi3 crystal at the PBE-GGA level of DFT.

POSCAR file:
```
TbTm2Bi3
1.0
4.4507 0.0000 0.0000
0.0000 6.2922 0.0000
-2.2254 -3.1461 6.6774
Tb Tm Bi
1 2 3
Direct
0.5000 0.5000 0.5000
0.8342 0.8342 0.1683
0.1658 0.1658 0.8317
0.8308 0.3308 0.1617
0.1692 0.6692 0.8383
0.5000 0.0000 0.5000
```

Summary:
DFT formation energy: -0.813 eV/atom



[8]
Computed, not measured: a relaxed TbTm5Bi6 crystal at the PBE-GGA level of DFT.

POSCAR file:
```
TbTm5Bi6
1.0
7.6881 0.2103 0.0000
2.3662 7.3215 0.0000
1.1831 3.6608 6.6614
Tb Tm Bi
1 5 6
Direct
0.0000 0.0000 0.0000
0.5000 0.1652 0.6697
0.0000 0.3327 0.3347
0.5000 0.5000 0.0000
0.0000 0.6673 0.6653
0.5000 0.8348 0.3303
0.7479 0.0842 0.3358
0.2521 0.5800 0.3358
0.2503 0.2529 0.0000
0.7497 0.7471 0.0000
0.7479 0.4200 0.6642
0.2521 0.9158 0.6642
```

Summary:
DFT formation energy: -0.798 eV/atom



Question: DFT formation energy of number 2 (TbTm3Bi2)?
Answer: -0.449 eV/atom



Question: Look up the DFT formation energy of the third one.
Answer: -0.532 eV/atom



Repeat the sixth record exactly.
Computed, not measured: a relaxed Tb4Tm3Bi4 crystal at the PBE-GGA level of DFT.

POSCAR file:
```
Tb4Tm3Bi4
1.0
-3.5917 -2.2164 -2.0985
1.1090 -2.4740 6.0082
-7.4263 7.7250 4.5517
Tb Tm Bi
4 3 4
Direct
0.6536 0.3071 0.5000
0.5962 0.1924 0.0000
0.0683 0.1367 0.7508
0.0683 0.1367 0.2492
0.3622 0.7243 0.3471
0.3622 0.7243 0.6529
0.2938 0.5876 0.0000
0.7432 0.4864 0.7760
0.7432 0.4864 0.2240
0.9576 0.9152 0.5000
0.9500 0.9000 0.0000
```

Summary:
DFT formation energy: -0.451 eV/atom



Repeat the seventh record exactly.
Computed, not measured: a relaxed TbTm2Bi3 crystal at the PBE-GGA level of DFT.

POSCAR file:
```
TbTm2Bi3
1.0
4.4507 0.0000 0.0000
0.0000 6.2922 0.0000
-2.2254 -3.1461 6.6774
Tb Tm Bi
1 2 3
Direct
0.5000 0.5000 0.5000
0.8342 0.8342 0.1683
0.1658 0.1658 0.8317
0.8308 0.3308 0.1617
0.1692 0.6692 0.8383
0.5000 0.0000 0.5000
```

Summary:
DFT formation energy: -0.813 eV/atom